No. 1
# HoTaTiO6

A relaxed structure of HoTaTiO6 (PBEsol, Alexandria).

## Properties
For the uncorrected formation energy, the calculation gives -3.230 eV per atom. The density of states at the Fermi level comes out at 0.0000 states/eV per atom. As for the density: 7.8 g/cm³. Its total energy is -345.6 eV/cell. As for the symmetry: No. 14.

Cell and atoms, written as CIF:
```
data_HoTaTiO6
_symmetry_space_group_name_H-M 'P 1'
_symmetry_Int_Tables_number 1
_cell_length_a 5.1580
_cell_length_b 5.5106
_cell_length_c 14.5895
_cell_angle_alpha 90.00
_cell_angle_beta 90.00
_cell_angle_gamma 90.35
loop_
_symmetry_equiv_pos_as_xyz
'x,y,z'
loop_
_atom_site_label
_atom_site_type_symbol
_atom_site_fract_x
_atom_site_fract_y
_atom_site_fract_z
O1 O 0.5805 0.4148 0.5861
Ho1 Ho 0.2532 0.7664 0.9999
Ho2 Ho 0.2532 0.2664 0.5001
O2 O 0.8523 0.3623 0.7586
O3 O 0.0375 0.9351 0.4085
Ta1 Ta 0.8245 0.1783 0.3316
O4 O 0.5366 0.0591 0.4092
O5 O 0.0808 0.5856 0.5843
Ho3 Ho 0.7468 0.7336 0.4999
O6 O 0.9192 0.4144 0.4157
Ti1 Ti 0.3208 0.3126 0.1639
Ti2 Ti 0.3208 0.8126 0.3361
O7 O 0.4195 0.0852 0.0861
O8 O 0.5805 0.9148 0.9139
O9 O 0.8523 0.8623 0.7414
O10 O 0.3492 0.1319 0.7388
O11 O 0.1477 0.6377 0.2414
O12 O 0.5366 0.5591 0.0908
Ti3 Ti 0.6792 0.1874 0.6639
O13 O 0.0808 0.0856 0.9157
O14 O 0.9625 0.0649 0.5915
O15 O 0.4634 0.4409 0.9092
O16 O 0.9625 0.5649 0.9085
O17 O 0.0375 0.4351 0.0915
Ta2 Ta 0.1755 0.8217 0.6684
O18 O 0.9192 0.9144 0.0843
O19 O 0.6508 0.8681 0.2612
Ho4 Ho 0.7468 0.2336 0.0001
Ta3 Ta 0.8245 0.6783 0.1684
O20 O 0.4634 0.9409 0.5908
O21 O 0.6508 0.3681 0.2388
O22 O 0.4195 0.5852 0.4139
Ta4 Ta 0.1755 0.3217 0.8316
O23 O 0.1477 0.1377 0.2586
Ti4 Ti 0.6792 0.6874 0.8361
O24 O 0.3492 0.6319 0.7612
```



No. 2
# TbHoO3

A relaxed structure of TbHoO3 (PBEsol, Alexandria).

## Properties
For the uncorrected formation energy, the calculation gives -3.548 eV per atom. The density of states at the Fermi level comes out at 0.0000 states/eV per atom. As for the density: 9.0 g/cm³. Its total energy is -173.8 eV/cell. As for the symmetry: No. 62.

Cell and atoms, written as CIF:
```
data_TbHoO3
_symmetry_space_group_name_H-M 'P 1'
_symmetry_Int_Tables_number 1
_cell_length_a 5.6073
_cell_length_b 5.8728
_cell_length_c 8.3525
_cell_angle_alpha 90.00
_cell_angle_beta 90.00
_cell_angle_gamma 90.00
loop_
_symmetry_equiv_pos_as_xyz
'x,y,z'
loop_
_atom_site_label
_atom_site_type_symbol
_atom_site_fract_x
_atom_site_fract_y
_atom_site_fract_z
Tb1 Tb 0.5239 0.5557 0.2500
Tb2 Tb 0.9761 0.0557 0.2500
Tb3 Tb 0.4761 0.4443 0.7500
O1 O 0.3110 0.6922 0.5823
O2 O 0.8110 0.8078 0.4177
O3 O 0.1518 0.4211 0.2500
O4 O 0.3110 0.6922 0.9177
O5 O 0.8482 0.5789 0.7500
O6 O 0.3482 0.9211 0.2500
O7 O 0.1890 0.1922 0.5823
O8 O 0.6518 0.0789 0.7500
Tb4 Tb 0.0239 0.9443 0.7500
Ho1 Ho 0.5000 0.0000 0.5000
Ho2 Ho 0.0000 0.5000 0.5000
Ho3 Ho 0.5000 0.0000 0.0000
Ho4 Ho 0.0000 0.5000 0.0000
O9 O 0.6890 0.3078 0.4177
O10 O 0.6890 0.3078 0.0823
O11 O 0.8110 0.8078 0.0823
O12 O 0.1890 0.1922 0.9177
```



No. 3
# Ho5Ti5O17

A relaxed structure of Ho5Ti5O17 (PBEsol, Alexandria).

## Properties
For the uncorrected formation energy, the calculation gives -3.329 eV per atom. The density of states at the Fermi level comes out at 0.1787 states/eV per atom. As for the density: 7.0 g/cm³. Its total energy is -490.9 eV/cell. As for the symmetry: No. 31.

Cell and atoms, written as CIF:
```
data_Ho5Ti5O17
_symmetry_space_group_name_H-M 'P 1'
_symmetry_Int_Tables_number 1
_cell_length_a 3.7938
_cell_length_b 5.3804
_cell_length_c 30.9557
_cell_angle_alpha 90.00
_cell_angle_beta 90.00
_cell_angle_gamma 90.00
loop_
_symmetry_equiv_pos_as_xyz
'x,y,z'
loop_
_atom_site_label
_atom_site_type_symbol
_atom_site_fract_x
_atom_site_fract_y
_atom_site_fract_z
O1 O 0.0000 0.7251 0.7927
O2 O 0.5000 0.2152 0.4662
O3 O 0.0000 0.0629 0.5215
Ho1 Ho 0.0000 0.2917 0.7932
Ti1 Ti 0.5000 0.7167 0.9710
O4 O 0.5000 0.9206 0.6780
O5 O 0.5000 0.9371 0.0215
Ti2 Ti 0.5000 0.7820 0.6190
O6 O 0.5000 0.0738 0.7663
Ti3 Ti 0.0000 0.2833 0.4710
O7 O 0.0000 0.2541 0.7164
O8 O 0.0000 0.2379 0.8718
Ti4 Ti 0.5000 0.2656 0.8828
O9 O 0.5000 0.0436 0.9293
Ti5 Ti 0.5000 0.2321 0.7060
O10 O 0.5000 0.5640 0.7404
O11 O 0.5000 0.5696 0.9128
O12 O 0.0000 0.9406 0.0838
O13 O 0.0000 0.4305 0.4128
O14 O 0.5000 0.9195 0.8500
Ho2 Ho 0.5000 0.3271 0.1977
Ho3 Ho 0.0000 0.1538 0.0167
O15 O 0.0000 0.9565 0.4293
Ti6 Ti 0.5000 0.7626 0.7950
O16 O 0.5000 0.4396 0.0065
O17 O 0.0000 0.4360 0.2404
Ho4 Ho 0.0000 0.6729 0.6977
O18 O 0.5000 0.7620 0.3718
O19 O 0.5000 0.4305 0.8249
O20 O 0.0000 0.9262 0.2663
Ho5 Ho 0.0000 0.3460 0.5734
O21 O 0.0000 0.5503 0.1598
Ho6 Ho 0.5000 0.8462 0.5168
Ho7 Ho 0.0000 0.8256 0.8929
O22 O 0.5000 0.4497 0.6598
O23 O 0.0000 0.7145 0.6242
O24 O 0.5000 0.2750 0.2927
O25 O 0.0000 0.5696 0.3249
O26 O 0.0000 0.5604 0.5065
Ti7 Ti 0.0000 0.7344 0.3828
O27 O 0.5000 0.0594 0.5838
O28 O 0.5000 0.5624 0.5687
Ho8 Ho 0.5000 0.1743 0.3929
O29 O 0.0000 0.4376 0.0687
Ti8 Ti 0.0000 0.2179 0.1190
Ho9 Ho 0.5000 0.7083 0.2932
Ti9 Ti 0.0000 0.2374 0.2950
Ti10 Ti 0.0000 0.7680 0.2060
O30 O 0.0000 0.0805 0.3500
O31 O 0.0000 0.0793 0.1779
O32 O 0.5000 0.2855 0.1242
O33 O 0.0000 0.7847 0.9662
O34 O 0.5000 0.7459 0.2164
Ho10 Ho 0.5000 0.6540 0.0734
```



No. 4
# Ho2TiO5

A relaxed structure of Ho2TiO5 (PBEsol, Alexandria).

## Properties
For the uncorrected formation energy, the calculation gives -3.413 eV per atom. The density of states at the Fermi level comes out at 0.0000 states/eV per atom. As for the density: 7.5 g/cm³. Its total energy is -143.5 eV/cell. As for the symmetry: No. 15. The value obtained for the energy above the most stable polymorph in this dataset is 0.055 eV per atom.

Cell and atoms, written as CIF:
```
data_Ho2TiO5
_symmetry_space_group_name_H-M 'P 1'
_symmetry_Int_Tables_number 1
_cell_length_a 5.1941
_cell_length_b 6.3719
_cell_length_c 7.3966
_cell_angle_alpha 112.08
_cell_angle_beta 90.00
_cell_angle_gamma 114.05
loop_
_symmetry_equiv_pos_as_xyz
'x,y,z'
loop_
_atom_site_label
_atom_site_type_symbol
_atom_site_fract_x
_atom_site_fract_y
_atom_site_fract_z
O1 O 0.2453 0.8550 0.5400
Ho1 Ho 0.3439 0.7189 0.2381
O2 O 0.0155 0.3373 0.1392
O3 O 0.8357 0.0000 0.7500
O4 O 0.6782 0.6627 0.3608
Ho2 Ho 0.6561 0.2811 0.7619
O5 O 0.1643 0.0000 0.2500
O6 O 0.3218 0.3373 0.6392
O7 O 0.7547 0.1450 0.4600
Ti1 Ti 0.0000 0.0000 0.5000
O8 O 0.3903 0.1450 0.9600
Ho3 Ho 0.3750 0.7189 0.7381
O9 O 0.6097 0.8550 0.0400
Ti2 Ti 0.0000 0.0000 0.0000
O10 O 0.9845 0.6627 0.8608
Ho4 Ho 0.6250 0.2811 0.2619
```



No. 5
# Ho10Ti6O27

A relaxed structure of Ho10Ti6O27 (PBEsol, Alexandria).

## Properties
For the uncorrected formation energy, the calculation gives -3.392 eV per atom. The density of states at the Fermi level comes out at 0.0000 states/eV per atom. As for the density: 7.5 g/cm³. Its total energy is -387.0 eV/cell. As for the symmetry: No. 8.

Cell and atoms, written as CIF:
```
data_Ho10Ti6O27
_symmetry_space_group_name_H-M 'P 1'
_symmetry_Int_Tables_number 1
_cell_length_a 7.1644
_cell_length_b 7.2780
_cell_length_c 12.2602
_cell_angle_alpha 73.55
_cell_angle_beta 73.01
_cell_angle_gamma 60.52
loop_
_symmetry_equiv_pos_as_xyz
'x,y,z'
loop_
_atom_site_label
_atom_site_type_symbol
_atom_site_fract_x
_atom_site_fract_y
_atom_site_fract_z
Ho1 Ho 0.5147 0.4667 0.5038
O1 O 0.1467 0.6967 0.4771
O2 O 0.2856 0.2947 0.5390
Ti1 Ti 0.4924 0.4860 0.0058
O3 O 0.1971 0.2294 0.9431
Ho2 Ho 0.7461 0.2730 0.2347
O4 O 0.9952 0.4143 0.1676
O5 O 0.6096 0.0454 0.3168
O6 O 0.6795 0.6967 0.4771
Ho3 Ho 0.2607 0.7346 0.2530
O7 O 0.0282 0.0454 0.3168
Ho4 Ho 0.5220 0.9624 0.9935
O8 O 0.7885 0.3804 0.0426
Ti2 Ti 0.7462 0.7547 0.7528
O9 O 0.9076 0.5099 0.6749
O10 O 0.4387 0.9380 0.1845
O11 O 0.5549 0.6644 0.8637
O12 O 0.4304 0.4492 0.6901
O13 O 0.9692 0.8989 0.6615
Ho5 Ho 0.2482 0.7346 0.7689
O14 O 0.8807 0.2947 0.5390
Ho6 Ho 0.7691 0.2226 0.7334
O15 O 0.2404 0.5692 0.9499
O16 O 0.2671 0.0111 0.4548
O17 O 0.5699 0.5442 0.3160
O18 O 0.0600 0.5396 0.3405
Ho7 Ho 0.2590 0.2085 0.2735
Ti3 Ti 0.0010 0.4921 0.5059
O19 O 0.2825 0.8149 0.0627
O20 O 0.6961 0.1120 0.4957
Ho8 Ho 0.2748 0.2226 0.7334
Ti4 Ti 0.5179 0.9830 0.4932
Ti5 Ti 0.0059 0.9830 0.4932
Ti6 Ti 0.0158 0.4860 0.0058
O21 O 0.4704 0.8989 0.6615
O22 O 0.4229 0.4143 0.1676
Ho9 Ho 0.9809 0.0476 0.9906
O23 O 0.5835 0.0376 0.7954
O24 O 0.6304 0.2294 0.9431
O25 O 0.8399 0.8149 0.0627
O26 O 0.9171 0.6644 0.8637
Ho10 Ho 0.7517 0.7346 0.2530
O27 O 0.0637 0.0617 0.8109
```



No. 6
# HoTiO3

A relaxed structure of HoTiO3 (PBEsol, Alexandria).

## Properties
For the uncorrected formation energy, the calculation gives -3.291 eV per atom. The density of states at the Fermi level comes out at 0.3197 states/eV per atom. As for the density: 7.7 g/cm³. Its total energy is -181.9 eV/cell. As for the symmetry: No. 62.

Cell and atoms, written as CIF:
```
data_HoTiO3
_symmetry_space_group_name_H-M 'P 1'
_symmetry_Int_Tables_number 1
_cell_length_a 5.2432
_cell_length_b 5.6448
_cell_length_c 7.5546
_cell_angle_alpha 90.00
_cell_angle_beta 90.00
_cell_angle_gamma 90.00
loop_
_symmetry_equiv_pos_as_xyz
'x,y,z'
loop_
_atom_site_label
_atom_site_type_symbol
_atom_site_fract_x
_atom_site_fract_y
_atom_site_fract_z
O1 O 0.8121 0.8035 0.0588
Ho1 Ho 0.9764 0.0746 0.2500
Ti1 Ti 0.0000 0.5000 0.0000
Ho2 Ho 0.0236 0.9254 0.7500
Ti2 Ti 0.5000 0.0000 0.0000
Ho3 Ho 0.4764 0.4254 0.7500
Ti3 Ti 0.0000 0.5000 0.5000
O2 O 0.1879 0.1965 0.5588
O3 O 0.8750 0.5475 0.7500
O4 O 0.6879 0.3035 0.0588
Ho4 Ho 0.5236 0.5746 0.2500
O5 O 0.1879 0.1965 0.9412
O6 O 0.3750 0.9525 0.2500
O7 O 0.8121 0.8035 0.4412
O8 O 0.3121 0.6965 0.5588
O9 O 0.6250 0.0475 0.7500
Ti4 Ti 0.5000 0.0000 0.5000
O10 O 0.1250 0.4525 0.2500
O11 O 0.3121 0.6965 0.9412
O12 O 0.6879 0.3035 0.4412
```